(1)
DFT (PBE) results for an optimized crystal structure of BaTlInSe3.

Geometry as extended XYZ:
```
12
Lattice="8.945 -2.826 0.000 8.945 2.826 0.000 -3.973 0.000 7.517" Properties=species:S:1:pos:R:3 pbc="T T T"
Ba 2.379 0.000 1.271
Ba 11.538 0.000 6.246
Tl 0.054 0.000 4.826
Tl 13.863 0.000 2.691
In 7.909 0.000 1.950
In 6.008 0.000 5.567
Se -0.977 0.000 1.849
Se 14.894 0.000 5.668
Se 5.761 0.000 0.563
Se 3.695 0.000 4.471
Se 10.222 0.000 3.045
Se 8.156 0.000 6.954
```

SG ... No. 12
Size of the total moment ... 0.00 μB/cell
Uncorrected formation energy ... -20.4 kcal/mol of atoms

(2)
DFT (PBE) results for an optimized crystal structure of BaTlIn2Se.

Geometry as extended XYZ:
```
5
Lattice="6.418 0.000 0.000 0.000 6.418 0.000 0.000 0.000 6.436" Properties=species:S:1:pos:R:3 pbc="T T T"
Ba 0.000 0.000 0.000
Tl 0.000 0.000 3.218
In 0.000 3.209 0.000
In 3.209 0.000 0.000
Se 3.209 3.209 3.218
```

SG ... No. 123
Size of the total moment ... 0.00 μB/cell
Uncorrected formation energy ... 17.8 kcal/mol of atoms

(3)
DFT (PBE) results for an optimized crystal structure of Ba2TmInSe5.

Geometry as extended XYZ:
```
18
Lattice="2.146 -9.566 0.000 2.146 9.566 0.000 0.000 0.000 13.483" Properties=species:S:1:pos:R:3 pbc="T T T"
Ba 2.146 7.292 6.742
Ba 2.146 7.033 1.789
Ba 2.146 -7.033 8.531
Ba 2.146 -7.292 0.000
Tm 2.146 5.529 11.298
Tm 2.146 -5.529 4.556
In 2.146 1.053 3.459
In 2.146 -1.053 10.201
Se 2.146 8.548 11.746
Se 2.146 3.995 6.403
Se 2.146 3.616 2.581
Se 2.146 2.803 11.053
Se 2.146 0.071 7.909
Se 2.146 -0.071 1.167
Se 2.146 -2.803 4.311
Se 2.146 -3.616 9.322
Se 2.146 -3.995 13.144
Se 2.146 -8.548 5.004
```

SG ... No. 36
Size of the total moment ... 0.00 μB/cell
Uncorrected formation energy ... -37.5 kcal/mol of atoms

Number 1: VASP energy -22.8 eV per formula unit. Number 2: VASP energy -9.4 eV per formula unit. Number 3: VASP energy -43.1 eV per formula unit.